PaNb2Se3 after structural relaxation. Source: Alexandria, functional PBE.

It has space group C2/m (No. 12), with a = 19.6158 Å, b = 3.4815 Å, c = 7.6236 Å, α = 90.00°, β = 99.91° and γ = 90.00°. The inequivalent atoms are Pa at (0.1699, 0.0000, 0.4741), Nb at (0.0454, 0.5000, 0.3764), Nb at (0.1778, 0.0000, 0.9650), Se at (0.0673, 0.0000, 0.1407), Se at (0.1004, 0.5000, 0.7272) and Se at (0.2224, 0.5000, 0.2151).

The total energy is -176.20 eV for the cell shown.